No. 1
Computed, not measured: a relaxed structure of ZnIn3I6 at the PBE level of DFT.

Summary:
Volume ... 838.6 Å³ per cell
Density of states at the Fermi level ... 3.04 states/eV/f.u.
Calculated total energy ... -46.57 eV per cell
ΔE_f (raw) ... -0.450 eV/atom
Space-group type ... Cmc2_1, No. 36

Lattice parameters (Å, degrees): 10.5574 10.5574 7.6570 90.00 90.00 100.71
Closest atoms and distances in Å follow each position.
Fractional positions:
Zn 0.2058 0.7942 0.5000  4 I 2.59-2.68
Zn 0.7942 0.2058 0.0000  4 I 2.59-2.68
In 0.0770 0.2791 0.5741  7 I 3.46-3.72
In 0.2791 0.0770 0.0741  7 I 3.46-3.72
In 0.4311 0.5689 0.2015  6 I 3.15-3.34
In 0.5689 0.4311 0.7015  6 I 3.15-3.34
In 0.7209 0.9230 0.5741  7 I 3.46-3.72
In 0.9230 0.7209 0.0741  7 I 3.46-3.72
I 0.0513 0.9487 0.3924  1 Zn 2.64
I 0.1309 0.5677 0.3385  1 Zn 2.68
I 0.2157 0.7843 0.8381  1 Zn 2.59
I 0.2940 0.3891 0.9027  4 In 3.15-3.52
I 0.3891 0.2940 0.4027  4 In 3.15-3.52
I 0.4323 0.8691 0.3385  1 Zn 2.68
I 0.5677 0.1309 0.8385  1 Zn 2.68
I 0.6109 0.7060 0.9027  4 In 3.15-3.52
I 0.7060 0.6109 0.4027  4 In 3.15-3.52
I 0.7843 0.2157 0.3381  1 Zn 2.59
I 0.8691 0.4323 0.8385  1 Zn 2.68
I 0.9487 0.0513 0.8924  1 Zn 2.64

No. 2
Computed, not measured: a relaxed structure of Cs2Br3N2 at the PBE level of DFT.

Summary:
Volume ... 255.5 Å³ per cell
Density of states at the Fermi level ... 1.27 states/eV/f.u.
Calculated total energy ... -20.26 eV per cell
ΔE_f (raw) ... 0.445 eV/atom
Space-group type ... P-1, No. 2

Lattice parameters (Å, degrees): 5.4286 5.5972 9.6321 80.49 81.90 62.57
Closest atoms and distances in Å follow each position.
Fractional positions:
Cs 0.2129 0.1909 0.2675  4 N 3.37-3.42, 4 Br 3.72-3.77
Cs 0.7871 0.8091 0.7325  4 N 3.37-3.42, 4 Br 3.72-3.77
Br 0.2495 0.7492 0.0014  2 Br 2.86
Br 0.5000 0.5000 0.5000  4 N 3.22-3.33
Br 0.7505 0.2508 0.9986  2 Br 2.86
N 0.1294 0.1876 0.6227  2 Br 3.22-3.33, 4 Cs 3.37-3.42
N 0.8706 0.8124 0.3773  2 Br 3.22-3.33, 4 Cs 3.37-3.42

No. 3
Computed, not measured: a relaxed structure of CaTbDy4Te8 at the PBE level of DFT.

Summary:
Volume ... 532.7 Å³ per cell
Density of states at the Fermi level ... 4.78 states/eV/f.u.
Calculated total energy ... -68.63 eV per cell
ΔE_f (raw) ... -1.318 eV/atom
Space-group type ... R3m, No. 160

Lattice parameters (Å, degrees): 9.1033 9.1033 9.1033 59.94 59.94 59.94
Closest atoms and distances in Å follow each position.
Fractional positions:
Ca 0.0000 0.0000 0.0000  4 Te 3.00
Tb 0.6278 0.6278 0.6278  6 Te 3.08-3.16
Dy 0.1192 0.6274 0.6274  6 Te 3.07-3.15
Dy 0.2505 0.2505 0.2505  4 Te 2.96-2.97
Dy 0.6274 0.1192 0.6274  6 Te 3.07-3.15
Dy 0.6274 0.6274 0.1192  6 Te 3.07-3.15
Te 0.3834 0.3834 0.3834  4 Dy 2.97-3.15
Te 0.3829 0.3829 0.8517  3 Dy 2.96-3.14, 1 Tb 3.16
Te 0.3829 0.8517 0.3829  3 Dy 2.96-3.14, 1 Tb 3.16
Te 0.4038 0.8667 0.8667  1 Ca 3.00, 2 Dy 3.07, 1 Tb 3.08
Te 0.8517 0.3829 0.3829  3 Dy 2.96-3.14, 1 Tb 3.16
Te 0.8656 0.8656 0.8656  1 Ca 3.00, 3 Dy 3.07
Te 0.8667 0.4038 0.8667  1 Ca 3.00, 2 Dy 3.07, 1 Tb 3.08
Te 0.8667 0.8667 0.4038  1 Ca 3.00, 2 Dy 3.07, 1 Tb 3.08

No. 4
Computed, not measured: a relaxed structure of AgBiAu at the PBE level of DFT.

Summary:
Energy above the lowest structure with this stoichiometry ... 64 meV per atom
Volume ... 66.8 Å³ per cell
Density of states at the Fermi level ... 1.10 states/eV/f.u.
Calculated total energy ... -9.86 eV per cell
Energy relative to the elements ... 0.1 eV/f.u.
Space-group type ... I4mm, No. 107

Lattice parameters (Å, degrees): 5.7598 5.7598 5.7598 143.64 143.64 52.37
Closest atoms and distances in Å follow each position.
Fractional positions:
Ag 0.0000 0.0000 0.0000  4 Au 2.90, 4 Bi 3.19
Bi 0.6857 0.6857 0.0000  5 Au 3.15-3.32, 5 Ag 3.19-3.25
Au 0.3649 0.3649 0.0000  4 Ag 2.90, 4 Bi 3.15

No. 5
Computed, not measured: a relaxed structure of KRbNa2Tl at the PBE level of DFT.

Summary:
Energy above the lowest structure with this stoichiometry ... 30 meV per atom
Volume ... 271.9 Å³ per cell
Density of states at the Fermi level ... 2.43 states/eV/f.u.
Calculated total energy ... -6.81 eV per cell
Energy relative to the elements ... 0.3 eV/f.u.
Space-group type ... P4/mmm, No. 123

Lattice parameters (Å, degrees): 6.2517 6.2517 6.9561 90.00 90.00 90.00
Closest atoms and distances in Å follow each position.
Fractional positions:
K 0.0000 0.0000 0.0000  4 Rb 4.42, 8 Na 4.68
Rb 0.5000 0.5000 0.0000  2 Tl 3.48
Na 0.0000 0.5000 0.5000  2 Tl 3.13
Na 0.5000 0.0000 0.5000  2 Tl 3.13
Tl 0.5000 0.5000 0.5000  4 Na 3.13, 2 Rb 3.48

No. 6
Computed, not measured: a relaxed structure of BaCeAg2Se4 at the PBE level of DFT.

Summary:
Volume ... 231.6 Å³ per cell
Density of states at the Fermi level ... 3.94 states/eV/f.u.
Calculated total energy ... -36.04 eV per cell
ΔE_f (raw) ... -1.068 eV/atom
Space-group type ... I222, No. 23

Lattice parameters (Å, degrees): 6.7375 6.7375 6.7375 116.13 111.09 101.52
Closest atoms and distances in Å follow each position.
Fractional positions:
Ba 0.0000 0.0000 0.0000  8 Se 3.37-3.47
Ce 0.5000 0.5000 0.0000  4 Se 2.80
Ag 0.3273 0.8273 0.5000  2 Se 2.58
Ag 0.6727 0.1727 0.5000  2 Se 2.58
Se 0.0929 0.0871 0.5639  1 Ag 2.58, 1 Ce 2.80
Se 0.4768 0.9129 0.0058  1 Ag 2.58, 1 Ce 2.80
Se 0.5232 0.5290 0.4361  1 Ag 2.58, 1 Ce 2.80
Se 0.9071 0.4710 0.9942  1 Ag 2.58, 1 Ce 2.80

No. 7
Computed, not measured: a relaxed structure of KCaMo at the PBE level of DFT.

Summary:
Energy above the lowest structure with this stoichiometry ... 85 meV per atom
Volume ... 83.0 Å³ per cell
Density of states at the Fermi level ... 4.04 states/eV/f.u.
Calculated total energy ... -10.49 eV per cell
Energy relative to the elements ... 3.4 eV/f.u.
Space-group type ... P3m1, No. 156

Lattice parameters (Å, degrees): 3.2100 3.2100 9.3031 90.00 90.00 120.00
Closest atoms and distances in Å follow each position.
Fractional positions:
K 0.0000 0.0000 0.0000  6 K 3.21, 3 Mo 3.52
Ca 0.3333 0.6667 0.5852  3 Mo 3.08, 6 Ca 3.21
Mo 0.6667 0.3333 0.3211  3 Ca 3.08, 6 Mo 3.21

No. 8
Computed, not measured: a relaxed structure of Ta2TcW at the PBE level of DFT.

Summary:
Energy above the lowest structure with this stoichiometry ... 151 meV per atom
Volume ... 66.6 Å³ per cell
Density of states at the Fermi level ... 1.85 states/eV/f.u.
Calculated total energy ... -47.63 eV per cell
Energy relative to the elements ... -0.6 eV/f.u.
Space-group type ... Cmmm, No. 65

Lattice parameters (Å, degrees): 2.8296 2.8296 8.8978 90.00 90.00 110.72
Closest atoms and distances in Å follow each position.
Fractional positions:
Ta 0.0000 0.0000 0.2446  2 Tc 2.71, 2 W 2.78, 4 Ta 2.83
Ta 0.0000 0.0000 0.7554  2 Tc 2.71, 2 W 2.78, 4 Ta 2.83
Tc 0.5000 0.5000 0.0000  4 Ta 2.71, 4 Tc 2.83
W 0.5000 0.5000 0.5000  4 Ta 2.78, 4 W 2.83

No. 9
Computed, not measured: a relaxed structure of Al2SbCl at the PBE level of DFT.

Summary:
Energy above the lowest structure with this stoichiometry ... 47 meV per atom
Volume ... 120.0 Å³ per cell
Density of states at the Fermi level ... 1.13 states/eV/f.u.
Calculated total energy ... -14.33 eV per cell
ΔE_f (raw) ... -0.219 eV/atom
Space-group type ... C2/m, No. 12

Lattice parameters (Å, degrees): 5.1018 5.1018 7.2960 118.33 118.33 47.67
Closest atoms and distances in Å follow each position.
Fractional positions:
Al 0.1421 0.1421 0.3782  1 Cl 2.36
Al 0.8579 0.8579 0.6218  1 Cl 2.36
Sb 0.5000 0.5000 0.5000  6 Al 2.83-2.98
Cl 0.0000 0.0000 0.0000  2 Al 2.36

No. 10
Computed, not measured: a relaxed structure of PmMgZr at the PBE level of DFT.

Summary:
Energy above the lowest structure with this stoichiometry ... 73 meV per atom
Volume ... 160.1 Å³ per cell
Density of states at the Fermi level ... 3.07 states/eV/f.u.
Calculated total energy ... -29.08 eV per cell
Energy relative to the elements ... 0.4 eV/f.u.
Space-group type ... Amm2, No. 38

Lattice parameters (Å, degrees): 16.7327 3.3222 3.3222 60.10 90.00 90.00
Closest atoms and distances in Å follow each position.
Fractional positions:
Pm 0.1794 0.0000 0.0000  3 Zr 3.32-3.33, 6 Pm 3.32-3.33, 3 Mg 3.55-3.58
Pm 0.8206 0.0000 0.0000  3 Zr 3.32-3.33, 6 Pm 3.32-3.33, 3 Mg 3.55-3.58
Mg 0.0000 0.6602 0.6602  6 Mg 3.32-3.33, 6 Pm 3.55-3.58
Mg 0.5000 0.0057 0.0057  6 Zr 3.26-3.28, 6 Mg 3.32-3.33
Zr 0.3414 0.3364 0.3364  3 Mg 3.26-3.28, 3 Pm 3.32-3.33, 6 Zr 3.32-3.33
Zr 0.6586 0.3364 0.3364  3 Mg 3.26-3.28, 3 Pm 3.32-3.33, 6 Zr 3.32-3.33

No. 11
Computed, not measured: a relaxed structure of TeSN2F at the PBE level of DFT.

Summary:
Energy above the lowest structure with this stoichiometry ... 0 meV per atom
Volume ... 79.4 Å³ per cell
Density of states at the Fermi level ... 3.46 states/eV/f.u.
Calculated total energy ... -20.27 eV per cell
ΔE_f (raw) ... 1.104 eV/atom
Space-group type ... P4/mmm, No. 123

Lattice parameters (Å, degrees): 3.4367 3.4367 6.7223 90.00 90.00 90.00
Closest atoms and distances in Å follow each position.
Fractional positions:
Te 0.0000 0.0000 0.0000  4 F 2.43
S 0.0000 0.0000 0.5000  4 N 1.72
N 0.0000 0.5000 0.5000  2 S 1.72
N 0.5000 0.0000 0.5000  2 S 1.72
F 0.5000 0.5000 0.0000  4 Te 2.43

No. 12
Computed, not measured: a relaxed structure of ZrTlP2 at the PBE level of DFT.

Summary:
Energy above the lowest structure with this stoichiometry ... 425 meV per atom
Volume ... 80.3 Å³ per cell
Density of states at the Fermi level ... 2.11 states/eV/f.u.
Calculated total energy ... -22.08 eV per cell
Energy relative to the elements ... -0.3 eV/f.u.
Space-group type ... Pmmm, No. 47

Lattice parameters (Å, degrees): 3.6442 3.9670 5.5555 90.00 90.00 90.00
Closest atoms and distances in Å follow each position.
Fractional positions:
Zr 0.0000 0.0000 0.0000  4 P 2.69
Tl 0.0000 0.5000 0.5000  4 P 2.69
P 0.5000 0.0000 0.5000  4 Tl 2.69
P 0.5000 0.5000 0.0000  4 Zr 2.69